(1)
## CuPtAu2 (PBE)

Data for crystalline CuPtAu2 at its relaxed geometry.

Computed properties:
As for the energy of formation from the pure elements: -0.05 eV per atom. For the total energy, the calculation gives -4.221 eV/atom. Its excess energy over the best structure of this formula in the dataset is 0.0000 eV/atom. Its symmetry is P4mm, No. 99. The crystal system is tetragonal. The magnetization comes out at 0.00 μB/f.u.

Lattice parameters (Å, degrees): 2.876 2.876 7.722 90.00 90.00 90.00
Element x y z (fractional)
Cu 0.000 0.000 0.000
Pt 0.500 0.500 0.217
Au 0.000 0.000 0.484
Au 0.500 0.500 0.766

=====

(2)
## Np3Ga2Au4 (PBE)

Data for crystalline Np3Ga2Au4 at its relaxed geometry.

Computed properties:
As for the energy of formation from the pure elements: -0.29 eV per atom. For the total energy, the calculation gives -6.735 eV/atom. Its symmetry is Cccm, No. 66. The crystal system is orthorhombic. The magnetization comes out at 12.54 μB/f.u.

Lattice parameters (Å, degrees): 8.494 8.494 5.792 90.00 90.00 120.20
Element x y z (fractional)
Np 0.000 0.000 0.250
Np 0.000 0.000 0.750
Np 0.334 0.666 0.250
Np 0.334 0.666 0.750
Np 0.666 0.334 0.250
Np 0.666 0.334 0.750
Ga 0.000 0.337 0.000
Ga 0.000 0.663 0.000
Ga 0.337 0.000 0.500
Ga 0.663 0.000 0.500
Au 0.006 0.673 0.500
Au 0.326 0.334 0.000
Au 0.327 0.994 0.000
Au 0.334 0.326 0.500
Au 0.666 0.674 0.500
Au 0.673 0.006 0.000
Au 0.674 0.666 0.000
Au 0.994 0.327 0.500

=====

(3)
## Zn2Cu2Ag (PBE)

Data for crystalline Zn2Cu2Ag at its relaxed geometry.

Computed properties:
As for the energy of formation from the pure elements: 0.13 eV per atom. For the total energy, the calculation gives -2.591 eV/atom. Its excess energy over the best structure of this formula in the dataset is 0.1507 eV/atom. Its symmetry is I4/mmm, No. 139. The crystal system is tetragonal. The magnetization comes out at 0.00 μB/f.u.

Lattice parameters (Å, degrees): 6.482 6.482 6.482 147.89 147.89 46.04
Element x y z (fractional)
Zn 0.250 0.750 0.500
Zn 0.750 0.250 0.500
Cu 0.100 0.100 0.000
Cu 0.900 0.900 0.000
Ag 0.500 0.500 0.000

=====

(4)
## Sm2HoZn2 (PBE)

Data for crystalline Sm2HoZn2 at its relaxed geometry.

Computed properties:
As for the energy of formation from the pure elements: -0.14 eV per atom. For the total energy, the calculation gives -3.457 eV/atom. Its excess energy over the best structure of this formula in the dataset is 0.1048 eV/atom. Its symmetry is P2_1/m, No. 11. The crystal system is monoclinic. The magnetization comes out at 0.00 μB/f.u.

Lattice parameters (Å, degrees): 4.518 4.399 13.367 90.00 99.34 90.00
Element x y z (fractional)
Sm 0.054 0.250 0.111
Sm 0.263 0.750 0.527
Sm 0.737 0.250 0.473
Sm 0.946 0.750 0.889
Ho 0.364 0.250 0.728
Ho 0.636 0.750 0.272
Zn 0.169 0.250 0.334
Zn 0.475 0.250 0.949
Zn 0.525 0.750 0.051
Zn 0.831 0.750 0.666

=====

(5)
## HAuBr4 (PBE)

Data for crystalline HAuBr4 at its relaxed geometry.

Computed properties:
For the total energy, the calculation gives -2.373 eV/atom. Its symmetry is C2/m, No. 12. The crystal system is monoclinic. The magnetization comes out at 0.00 μB/f.u.

Lattice parameters (Å, degrees): 6.796 6.796 11.167 105.22 105.22 71.59
Element x y z (fractional)
H 0.248 0.248 0.262
H 0.752 0.752 0.738
Au 0.432 0.432 0.825
Au 0.568 0.568 0.175
Br 0.109 0.109 0.201
Br 0.213 0.213 0.681
Br 0.348 0.348 0.011
Br 0.482 0.482 0.351
Br 0.518 0.518 0.649
Br 0.652 0.652 0.989
Br 0.787 0.787 0.319
Br 0.891 0.891 0.799

=====

(6)
## CePm3Ru2 (PBE)

Data for crystalline CePm3Ru2 at its relaxed geometry.

Computed properties:
As for the energy of formation from the pure elements: -0.21 eV per atom. For the total energy, the calculation gives -6.669 eV/atom. Its symmetry is C2/m, No. 12. The crystal system is monoclinic. The magnetization comes out at 0.00 μB/f.u.

Lattice parameters (Å, degrees): 8.444 8.444 11.277 117.05 117.05 28.85
Element x y z (fractional)
Ce 0.060 0.060 0.169
Ce 0.940 0.940 0.831
Pm 0.167 0.167 0.528
Pm 0.292 0.292 0.904
Pm 0.443 0.443 0.293
Pm 0.557 0.557 0.707
Pm 0.708 0.708 0.096
Pm 0.833 0.833 0.472
Ru 0.110 0.110 0.908
Ru 0.367 0.367 0.673
Ru 0.633 0.633 0.327
Ru 0.890 0.890 0.092

=====

(7)
## Ce7Hg2Ir2 (PBE)

Data for crystalline Ce7Hg2Ir2 at its relaxed geometry.

Computed properties:
As for the energy of formation from the pure elements: -0.29 eV per atom. For the total energy, the calculation gives -5.737 eV/atom. Its symmetry is Cmmm, No. 65. The crystal system is orthorhombic. The magnetization comes out at 4.97 μB/f.u.

Lattice parameters (Å, degrees): 6.964 6.964 6.776 90.00 90.00 109.02
Element x y z (fractional)
Ce 0.000 0.000 0.000
Ce 0.000 0.500 0.278
Ce 0.000 0.500 0.722
Ce 0.500 0.000 0.278
Ce 0.500 0.000 0.722
Ce 0.500 0.500 0.216
Ce 0.500 0.500 0.784
Hg 0.177 0.177 0.500
Hg 0.823 0.823 0.500
Ir 0.269 0.731 0.000
Ir 0.731 0.269 0.000

=====

(8)
## Rb2GeHCl6 (PBE)

Data for crystalline Rb2GeHCl6 at its relaxed geometry.

Computed properties:
For the total energy, the calculation gives -3.219 eV/atom. Its symmetry is I4/mmm, No. 139. The crystal system is tetragonal. The magnetization comes out at 0.99 μB/f.u.

Lattice parameters (Å, degrees): 7.215 7.215 7.215 113.40 113.40 101.86
Element x y z (fractional)
Rb 0.250 0.750 0.500
Rb 0.750 0.250 0.500
Ge 0.000 0.000 0.000
H 0.500 0.500 0.000
Cl 0.215 0.215 0.429
Cl 0.215 0.785 0.000
Cl 0.326 0.326 0.000
Cl 0.674 0.674 0.000
Cl 0.785 0.215 0.000
Cl 0.785 0.785 0.571